# BaSnPO2, relaxed, DFT PBE
data_BaSnPO2
_space_group_name_H-M_alt 'P 1'
_space_group_IT_number 1
_space_group_name_Hall 'P 1'
_cell_length_a 4.3396
_cell_length_b 4.3396
_cell_length_c 5.0597
_cell_angle_alpha 90.00
_cell_angle_beta 90.00
_cell_angle_gamma 90.00
loop_
_atom_site_label
_atom_site_fract_x
_atom_site_fract_y
_atom_site_fract_z
_atom_site_occupancy
Ba1 0.5000 0.5000 0.5000 1
O1 0.0000 0.5000 0.0000 1
O2 0.5000 0.0000 0.0000 1
Sn1 0.0000 0.0000 0.0000 1
P1 0.0000 0.0000 0.5000 1
# Space-group type = P4/mmm (123)
# Relative energy among the computed polymorphs = 0.0000 eV per atom
# M_tot = 0.0 μB/f.u.
# Uncorrected energy = -26.51 eV/cell
# ΔE_f (raw) = -1.05 eV/atom



# BaSnPO2, relaxed, DFT PBE
data_BaSnPO2
_space_group_name_H-M_alt 'P 1'
_space_group_IT_number 1
_space_group_name_Hall 'P 1'
_cell_length_a 4.4340
_cell_length_b 4.4340
_cell_length_c 6.5138
_cell_angle_alpha 90.00
_cell_angle_beta 90.00
_cell_angle_gamma 90.00
loop_
_atom_site_label
_atom_site_fract_x
_atom_site_fract_y
_atom_site_fract_z
_atom_site_occupancy
Ba1 0.0000 0.0000 0.0000 1
O1 0.5000 0.0000 0.0000 1
O2 0.0000 0.5000 0.0000 1
Sn1 0.5000 0.5000 0.5000 1
P1 0.0000 0.0000 0.5000 1
# Space-group type = P4/mmm (123)
# Relative energy among the computed polymorphs = 1.0388 eV per atom
# M_tot = 0.8 μB/f.u.
# Uncorrected energy = -21.31 eV/cell
# ΔE_f (raw) = -0.01 eV/atom



# BaSr2PO, relaxed, DFT PBE
data_BaSr2PO
_space_group_name_H-M_alt 'P 1'
_space_group_IT_number 1
_space_group_name_Hall 'P 1'
_cell_length_a 6.7790
_cell_length_b 5.2394
_cell_length_c 6.7790
_cell_angle_alpha 90.00
_cell_angle_beta 90.00
_cell_angle_gamma 90.00
loop_
_atom_site_label
_atom_site_fract_x
_atom_site_fract_y
_atom_site_fract_z
_atom_site_occupancy
Sr1 0.5000 0.0000 0.0000 1
Sr2 0.0000 0.0000 0.5000 1
P1 0.0000 0.5000 0.0000 1
Ba1 0.0000 0.0000 0.0000 1
O1 0.5000 0.5000 0.5000 1
# Space-group type = P4/mmm (123)
# M_tot = 0.0 μB/f.u.
# Uncorrected energy = -11.44 eV/cell
# ΔE_f (raw) = 0.84 eV/atom